A plane-wave DFT calculation with PBE was carried out for an optimized crystal structure of CeYTlPt.

Cell and atoms, written as POSCAR:
```
CeYTlPt
1.0
7.392 0.000 0.000
0.000 7.392 0.000
0.000 0.000 7.392
Ce Y Tl Pt
4 4 4 4
Cartesian
0.000 0.000 0.000 Ce
0.000 3.696 3.696 Ce
3.696 0.000 3.696 Ce
3.696 3.696 0.000 Ce
0.000 0.000 3.696 Y
0.000 3.696 0.000 Y
3.696 0.000 0.000 Y
3.696 3.696 3.696 Y
1.848 1.848 5.544 Tl
1.848 5.544 1.848 Tl
5.544 1.848 1.848 Tl
5.544 5.544 5.544 Tl
1.848 1.848 1.848 Pt
1.848 5.544 5.544 Pt
5.544 1.848 5.544 Pt
5.544 5.544 1.848 Pt
```

Values from the calculation:
M_tot: 0.7 μB per formula unit
Fermi-level density of states: 1.797 states/eV/atom
E_tot: -92.47 eV/cell

A plane-wave DFT calculation with PBE was carried out for an optimized crystal structure of Sm2Tm2Sc5.

Cell and atoms, written as POSCAR:
```
Sm2Tm2Sc5
1.0
-5.859 4.183 5.203
5.859 -4.183 5.203
5.859 4.183 -5.203
Sm Tm Sc
4 4 10
Cartesian
0.000 0.000 0.000 Sm
5.859 0.000 0.000 Sm
8.788 -0.859 1.195 Sm
2.929 0.859 1.195 Sm
1.245 3.129 -0.756 Tm
4.614 3.129 -0.756 Tm
1.245 1.054 4.448 Tm
4.614 1.054 4.448 Tm
7.050 2.532 -2.655 Sc
4.668 -1.651 2.549 Sc
2.929 -1.694 5.263 Sc
-1.191 1.651 2.549 Sc
7.050 1.651 2.549 Sc
1.464 3.637 2.420 Sc
4.395 3.637 2.420 Sc
2.929 5.878 0.060 Sc
-1.464 4.730 2.420 Sc
1.464 0.547 7.623 Sc
```

Values from the calculation:
M_tot: 0.0 μB per formula unit
Fermi-level density of states: 1.415 states/eV/atom
E_tot: -96.53 eV/cell

Number 1: formation enthalpy at 0 K -0.58 eV/atom. Number 2: formation enthalpy at 0 K 0.20 eV/atom.